Entry 1:
Crystalline BeIrF at its relaxed geometry, computed with PBE-GGA.

Values from the calculation:
- Density of states at the Fermi level: 1.089 states/eV/f.u.
- DFT total energy: -0.2082 hartree per atom
- Total moment: 0.00 μB/cell
- Energy above the most stable polymorph in this dataset: 578.0 meV/atom

CIF file:
```
data_BeIrF
_chemical_formula_sum 'Be4 Ir4 F4'
_symmetry_space_group_name_H-M 'P n m a'
_symmetry_Int_Tables_number 62
_symmetry_space_group_name_Hall '-P 2ac 2n'
_cell_length_a 6.0834
_cell_length_b 4.5404
_cell_length_c 6.6944
_cell_angle_alpha 90.00
_cell_angle_beta 90.00
_cell_angle_gamma 90.00
loop_
_atom_site_label
_atom_site_fract_x
_atom_site_fract_y
_atom_site_fract_z
Be1 0.1319 0.2500 0.0906
Ir1 0.0018 0.2500 0.4368
F1 0.0000 0.0000 0.0000
```



Entry 2:
Crystalline V3CuRh at its relaxed geometry, computed with PBE-GGA.

Values from the calculation:
- Energy relative to the elements: 27.322 kcal/mol of atoms
- Density of states at the Fermi level: 10.002 states/eV/f.u.
- DFT total energy: -0.2417 hartree per atom
- Total moment: 4.19 μB/cell
- Energy above the most stable polymorph in this dataset: 0.0 meV/atom

CIF file:
```
data_V3CuRh
_chemical_formula_sum 'V3 Cu1 Rh1'
_symmetry_space_group_name_H-M 'P m -3 m'
_symmetry_Int_Tables_number 221
_symmetry_space_group_name_Hall '-P 4 2 3'
_cell_length_a 4.3628
_cell_length_b 4.3628
_cell_length_c 4.3628
_cell_angle_alpha 90.00
_cell_angle_beta 90.00
_cell_angle_gamma 90.00
loop_
_atom_site_label
_atom_site_fract_x
_atom_site_fract_y
_atom_site_fract_z
V1 0.0000 0.0000 0.5000
Cu1 0.0000 0.0000 0.0000
Rh1 0.5000 0.5000 0.5000
```



Entry 3:
Crystalline Pm2Y4Ho5 at its relaxed geometry, computed with PBE-GGA.

Values from the calculation:
- Energy relative to the elements: 1.336 kcal/mol of atoms
- Density of states at the Fermi level: 16.754 states/eV/f.u.
- DFT total energy: -0.1925 hartree per atom
- Total moment: 0.00 μB/cell
- Energy above the most stable polymorph in this dataset: 0.0 meV/atom

CIF file:
```
data_Pm2Y4Ho5
_chemical_formula_sum 'Pm2 Y4 Ho5'
_symmetry_space_group_name_H-M 'P -1'
_symmetry_Int_Tables_number 2
_symmetry_space_group_name_Hall '-P 1'
_cell_length_a 3.6744
_cell_length_b 9.2393
_cell_length_c 10.9018
_cell_angle_alpha 77.44
_cell_angle_beta 80.32
_cell_angle_gamma 90.00
loop_
_atom_site_label
_atom_site_fract_x
_atom_site_fract_y
_atom_site_fract_z
Pm1 0.1154 0.0048 0.2702
Y1 0.1716 0.4190 0.1574
Y2 0.4714 0.7951 0.5567
Ho1 0.0000 0.5000 0.5000
Ho2 0.2506 0.8283 0.9976
Ho3 0.3820 0.3046 0.7368
```



Entry 4:
Crystalline La8SiTe4Se3 at its relaxed geometry, computed with PBE-GGA.

Values from the calculation:
- Density of states at the Fermi level: 9.350 states/eV/f.u.
- DFT total energy: -0.2174 hartree per atom
- Total moment: 0.00 μB/cell

CIF file:
```
data_La8SiTe4Se3
_chemical_formula_sum 'La24 Si3 Te12 Se9'
_symmetry_space_group_name_H-M 'R -3 m'
_symmetry_Int_Tables_number 166
_symmetry_space_group_name_Hall '-R 3 2"'
_cell_length_a 8.8472
_cell_length_b 8.8472
_cell_length_c 22.2848
_cell_angle_alpha 90.00
_cell_angle_beta 90.00
_cell_angle_gamma 120.00
loop_
_atom_site_label
_atom_site_fract_x
_atom_site_fract_y
_atom_site_fract_z
La1 0.0000 0.0000 0.2416
La2 0.0072 0.5036 0.2409
Si1 0.0000 0.0000 0.5000
Te1 0.0000 0.0000 0.0000
Te2 0.0000 0.5000 0.0000
Se1 0.0000 0.5000 0.5000
```



Entry 5:
Crystalline Tm2Si4Tc3 at its relaxed geometry, computed with PBE-GGA.

Values from the calculation:
- Density of states at the Fermi level: 6.649 states/eV/f.u.
- DFT total energy: -0.2683 hartree per atom
- Total moment: 0.00 μB/cell
- Energy above the most stable polymorph in this dataset: 315.7 meV/atom

CIF file:
```
data_Tm2Si4Tc3
_chemical_formula_sum 'Tm8 Si16 Tc12'
_symmetry_space_group_name_H-M 'F m m m'
_symmetry_Int_Tables_number 69
_symmetry_space_group_name_Hall '-F 2 2'
_cell_length_a 5.4103
_cell_length_b 9.3084
_cell_length_c 12.2992
_cell_angle_alpha 90.00
_cell_angle_beta 90.00
_cell_angle_gamma 90.00
loop_
_atom_site_label
_atom_site_fract_x
_atom_site_fract_y
_atom_site_fract_z
Tm1 0.0000 0.0000 0.1373
Si1 0.0000 0.1775 0.3383
Tc1 0.0000 0.0000 0.5000
Tc2 0.2500 0.2500 0.0000
```



Entry 6:
Crystalline DyEr3Bi2 at its relaxed geometry, computed with PBE-GGA.

Values from the calculation:
- Energy relative to the elements: -12.903 kcal/mol of atoms
- Density of states at the Fermi level: 4.602 states/eV/f.u.
- DFT total energy: -0.1801 hartree per atom
- Total moment: 0.00 μB/cell
- Energy above the most stable polymorph in this dataset: 0.0 meV/atom

CIF file:
```
data_DyEr3Bi2
_chemical_formula_sum 'Dy1 Er3 Bi2'
_symmetry_space_group_name_H-M 'P -4 m 2'
_symmetry_Int_Tables_number 115
_symmetry_space_group_name_Hall 'P -4 -2'
_cell_length_a 4.5328
_cell_length_b 4.5328
_cell_length_c 8.5250
_cell_angle_alpha 90.00
_cell_angle_beta 90.00
_cell_angle_gamma 90.00
loop_
_atom_site_label
_atom_site_fract_x
_atom_site_fract_y
_atom_site_fract_z
Dy1 0.0000 0.0000 0.0000
Er1 0.0000 0.5000 0.3431
Er2 0.5000 0.5000 0.0000
Bi1 0.0000 0.5000 0.7133
```



Entry 7:
Crystalline TlFeCu2 at its relaxed geometry, computed with PBE-GGA.

Values from the calculation:
- Energy relative to the elements: 8.513 kcal/mol of atoms
- Density of states at the Fermi level: 3.558 states/eV/f.u.
- DFT total energy: -0.1612 hartree per atom
- Total moment: 2.95 μB/cell
- Energy above the most stable polymorph in this dataset: 0.0 meV/atom

CIF file:
```
data_TlFeCu2
_chemical_formula_sum 'Tl1 Fe1 Cu2'
_symmetry_space_group_name_H-M 'P 4/m m m'
_symmetry_Int_Tables_number 123
_symmetry_space_group_name_Hall '-P 4 2'
_cell_length_a 3.1272
_cell_length_b 3.1272
_cell_length_c 6.3488
_cell_angle_alpha 90.00
_cell_angle_beta 90.00
_cell_angle_gamma 90.00
loop_
_atom_site_label
_atom_site_fract_x
_atom_site_fract_y
_atom_site_fract_z
Tl1 0.0000 0.0000 0.0000
Fe1 0.0000 0.0000 0.5000
Cu1 0.5000 0.5000 0.2982
```



Entry 8:
Crystalline PuAlH6 at its relaxed geometry, computed with PBE-GGA.

Values from the calculation:
- Density of states at the Fermi level: 5.634 states/eV/f.u.
- DFT total energy: -0.1835 hartree per atom
- Total moment: 15.00 μB/cell

CIF file:
```
data_PuAlH6
_chemical_formula_sum 'Pu3 Al3 H18'
_symmetry_space_group_name_H-M 'R -3 m'
_symmetry_Int_Tables_number 166
_symmetry_space_group_name_Hall '-R 3 2"'
_cell_length_a 6.1792
_cell_length_b 6.1792
_cell_length_c 6.0120
_cell_angle_alpha 90.00
_cell_angle_beta 90.00
_cell_angle_gamma 120.00
loop_
_atom_site_label
_atom_site_fract_x
_atom_site_fract_y
_atom_site_fract_z
Pu1 0.0000 0.0000 0.0000
Al1 0.0000 0.0000 0.5000
H1 0.0889 0.5445 0.3542
```